1.
# CaMg2Ru

A relaxed CaMg2Ru crystal (PBEsol, the Alexandria database).

Unit cell a=4.2148 b=4.2474 c=4.4506 alpha=90.00 beta=90.00 gamma=90.00
Last column: nearest neighbours and their distance in Å.
Space group Pmmm (No. 47)
One atom of each set of equivalent atoms:
1 Ca 0.0000 0.0000 0.0000  4 Ru 2.99, 8 Mg 3.06-3.08
2 Mg 0.0000 0.5000 0.5000  4 Mg 2.99, 4 Ru 3.06, 4 Ca 3.08
3 Mg 0.5000 0.0000 0.5000  4 Mg 2.99, 4 Ca 3.06, 4 Ru 3.08
4 Ru 0.5000 0.5000 0.0000  4 Ca 2.99, 8 Mg 3.06-3.08

## Properties
total DFT energy (no corrections) = -3.664 eV/atom
calculated formation energy = 0.271 eV per atom
N(E_F) = 3.90 states/eV/cell
volume = 19.9 Å³/atom


2.
# CaMgS3

A relaxed CaMgS3 crystal (PBEsol, the Alexandria database).

Unit cell a=4.7650 b=4.7650 c=4.7650 alpha=90.00 beta=90.00 gamma=90.00
Last column: nearest neighbours and their distance in Å.
Space group Pm-3m (No. 221)
One atom of each set of equivalent atoms:
1 Ca 0.0000 0.0000 0.0000  12 S 3.37
2 Mg 0.5000 0.5000 0.5000  6 S 2.38
3 S 0.0000 0.5000 0.5000  2 Mg 2.38

## Properties
total DFT energy (no corrections) = -4.194 eV/atom
N(E_F) = 6.05 states/eV/cell
formation energy (no corrections) = -18.30 kcal/mol of atoms
volume = 21.6 Å³/atom


3.
# CaMg3S

A relaxed CaMg3S crystal (PBEsol, the Alexandria database).

Unit cell a=5.0553 b=5.0553 c=5.0553 alpha=90.00 beta=90.00 gamma=90.00
Last column: nearest neighbours and their distance in Å.
Space group Pm-3m (No. 221)
One atom of each set of equivalent atoms:
1 Ca 0.0000 0.0000 0.0000  12 Mg 3.57
2 Mg 0.0000 0.5000 0.5000  2 S 2.53
3 S 0.5000 0.5000 0.5000  6 Mg 2.53

## Properties
total DFT energy (no corrections) = -2.551 eV/atom
N(E_F) = 3.29 states/eV/cell
formation energy (no corrections) = -5.01 kcal/mol of atoms
volume = 25.8 Å³/atom


4.
# CaMg2SeS

A relaxed CaMg2SeS crystal (PBEsol, the Alexandria database).

Unit cell a=6.0340 b=6.0340 c=5.0402 alpha=90.00 beta=90.00 gamma=90.00
Last column: nearest neighbours and their distance in Å.
Space group P4/mmm (No. 123)
One atom of each set of equivalent atoms:
1 Ca 0.0000 0.0000 0.0000  2 Se 2.52
2 Mg 0.0000 0.5000 0.0000  2 Ca 3.02
3 Se 0.0000 0.0000 0.5000  2 Ca 2.52
4 S 0.5000 0.5000 0.5000  8 Mg 3.93, 4 Se 4.27

## Properties
total DFT energy (no corrections) = -2.187 eV/atom
N(E_F) = 4.84 states/eV/cell
formation energy (no corrections) = 13.22 kcal/mol of atoms
volume = 36.7 Å³/atom